Record 1
Material: K2SeCl
Method: DFT, GGA-PBE
State: relaxed

a = 6.4674 Å, b = 6.4674 Å, c = 5.6372 Å
α = 90.00°, β = 90.00°, γ = 31.05°
Site moments in Bohr magnetons follow the coordinates.
Element x y z (fractional)
K 0.0122 0.0122 0.8750  0.00
K 0.2425 0.2425 0.3751  0.00
Cl 0.7423 0.7423 0.8749  -0.01
Se 0.5030 0.5030 0.3750  -0.12

Properties
Excess energy over the best structure of this formula in the dataset: 71 meV per atom
V: 30.40 Å³/atom
Size of the total moment: 0.2 Bohr magnetons per cell
Raw formation energy: -4.799 eV/f.u.

Record 2
Material: P2AuS2
Method: DFT, GGA-PBE
State: relaxed

a = 3.4550 Å, b = 5.3633 Å, c = 6.6669 Å
α = 104.44°, β = 104.76°, γ = 90.31°
Element x y z (fractional)
S 0.4381 0.3753 0.6499
S 0.6454 0.0539 0.0647
P 0.6950 0.4519 0.1567
P 0.3144 0.5414 0.3979
Au 0.4522 0.9194 0.6754

Properties
Excess energy over the best structure of this formula in the dataset: 75 meV per atom
V: 23.07 Å³/atom
Size of the total moment: 0.0 Bohr magnetons per cell
Raw formation energy: 0.272 eV/f.u.

Record 3
Material: MnHCl2
Method: DFT, GGA-PBE
State: relaxed

a = 7.0793 Å, b = 7.0793 Å, c = 7.0793 Å
α = 25.04°, β = 25.04°, γ = 25.04°
Element x y z (fractional)
Cl 0.1022 0.1022 0.1022
Cl 0.8978 0.8978 0.8978
H 0.5000 0.5000 0.5000
Mn 0.0000 0.0000 0.0000

Properties
V: 13.98 Å³/atom
Size of the total moment: 0.0 Bohr magnetons per cell
Uncorrected energy: -13.81 eV per cell

Record 4
Material: BaB4S7
Method: DFT, GGA-PBE
State: relaxed

a = 5.3952 Å, b = 5.6045 Å, c = 13.4543 Å
α = 90.00°, β = 90.00°, γ = 90.00°
Element x y z (fractional)
B 0.0757 0.8244 0.2520
B 0.5982 0.6719 0.1243
B 0.0757 0.8244 0.7480
B 0.5757 0.1756 0.7520
B 0.5757 0.1756 0.2480
B 0.5982 0.6719 0.8757
B 0.0982 0.3281 0.6243
B 0.0982 0.3281 0.3757
S 0.9811 0.1926 0.5000
S 0.4526 0.2844 0.6284
S 0.9520 0.1537 0.7366
S 0.4520 0.8463 0.7634
S 0.4520 0.8463 0.2366
S 0.4526 0.2844 0.3716
S 0.9526 0.7156 0.1284
S 0.4811 0.8074 0.0000
S 0.5044 0.3419 0.1285
S 0.0044 0.6581 0.6285
S 0.9520 0.1537 0.2634
S 0.5044 0.3419 0.8715
S 0.0044 0.6581 0.3715
S 0.9526 0.7156 0.8716
Ba 0.5078 0.7995 0.5000
Ba 0.0078 0.2005 0.0000

Properties
V: 16.95 Å³/atom
Size of the total moment: 0.0 Bohr magnetons per cell
Raw formation energy: -8.729 eV/f.u.

Record 5
Material: BaLi2NiPb
Method: DFT, GGA-PBE
State: relaxed

a = 5.1152 Å, b = 5.1152 Å, c = 4.9904 Å
α = 90.00°, β = 90.00°, γ = 90.00°
Element x y z (fractional)
Li 0.5000 0.0000 0.0000
Li 0.0000 0.5000 0.0000
Ba 0.5000 0.5000 0.5000
Ni 0.0000 0.0000 0.0000
Pb 0.0000 0.0000 0.5000

Properties
V: 26.12 Å³/atom
Size of the total moment: 0.2 Bohr magnetons per cell
Energy of formation: -108 meV/atom

Record 6
Material: Tb2DyYMg
Method: DFT, GGA-PBE
State: relaxed

a = 5.5652 Å, b = 6.1247 Å, c = 9.4451 Å
α = 70.35°, β = 90.00°, γ = 90.00°
Element x y z (fractional)
Mg 0.7500 0.5775 0.1994
Mg 0.2500 0.4225 0.8006
Tb 0.7500 0.7504 0.7983
Tb 0.2500 0.0204 0.6029
Tb 0.7500 0.9796 0.3971
Tb 0.2500 0.2496 0.2017
Y 0.2500 0.6442 0.3920
Y 0.7500 0.3558 0.6080
Dy 0.7500 0.1711 0.9983
Dy 0.2500 0.8289 0.0017

Properties
V: 30.32 Å³/atom
Size of the total moment: 0.0 Bohr magnetons per cell
Energy of formation: 12 meV/atom

Record 7
Material: LuBiPd
Method: DFT, GGA-PBE
State: relaxed

a = 3.4635 Å, b = 3.4635 Å, c = 6.4704 Å
α = 105.52°, β = 105.52°, γ = 90.00°
Element x y z (fractional)
Bi 0.0122 0.0122 0.0243
Pd 0.6829 0.6829 0.3659
Lu 0.3049 0.3049 0.6098

Properties
V: 23.95 Å³/atom
Size of the total moment: 0.0 Bohr magnetons per cell
Energy of formation: -583 meV/atom

Record 8
Material: ScBiSN2
Method: DFT, GGA-PBE
State: relaxed

a = 4.1298 Å, b = 4.1298 Å, c = 5.1528 Å
α = 90.00°, β = 90.00°, γ = 90.00°
Site moments in Bohr magnetons follow the coordinates.
Element x y z (fractional)
S 0.0000 0.0000 0.5000  0.01
Bi 0.5000 0.5000 0.5000  -0.02
N 0.5000 0.0000 0.0000  0.14
N 0.0000 0.5000 0.0000  0.14
Sc 0.0000 0.0000 0.0000  0.00

Properties
Excess energy over the best structure of this formula in the dataset: 0 meV per atom
V: 17.58 Å³/atom
Size of the total moment: 0.4 Bohr magnetons per cell
Raw formation energy: 1.688 eV/f.u.

Record 9
Material: Ga8CuPt2
Method: DFT, GGA-PBE
State: relaxed

a = 5.0516 Å, b = 6.7018 Å, c = 6.7018 Å
α = 66.12°, β = 100.92°, γ = 100.92°
Element x y z (fractional)
Ga 0.3669 0.3907 0.8089
Ga 0.6331 0.1911 0.6093
Ga 0.1434 0.4111 0.4111
Ga 0.1939 0.8183 0.8183
Ga 0.3669 0.8089 0.3907
Ga 0.8566 0.5889 0.5889
Ga 0.6331 0.6093 0.1911
Ga 0.8061 0.1817 0.1817
Pt 0.6694 0.7827 0.7827
Pt 0.3306 0.2173 0.2173
Cu 0.0000 0.0000 0.0000

Properties
Excess energy over the best structure of this formula in the dataset: 46 meV per atom
V: 18.37 Å³/atom
Size of the total moment: 0.0 Bohr magnetons per cell
Energy of formation: -230 meV/atom

Record 10
Material: TlFe2AuI8
Method: DFT, GGA-PBE
State: relaxed

a = 7.4345 Å, b = 7.4345 Å, c = 10.7251 Å
α = 81.05°, β = 81.05°, γ = 73.47°
Site moments in Bohr magnetons follow the coordinates.
Element x y z (fractional)
Fe 0.6351 0.6351 0.2484  3.50
Fe 0.3649 0.3649 0.7516  3.50
I 0.7222 0.7222 0.4447  0.21
I 0.7757 0.7757 0.0247  0.14
I 0.2243 0.2243 0.9753  0.14
I 0.2773 0.7416 0.2479  0.20
I 0.2778 0.2778 0.5553  0.21
I 0.7227 0.2584 0.7521  0.20
I 0.2584 0.7227 0.7521  0.20
I 0.7416 0.2773 0.2479  0.20
Au 0.0000 0.0000 0.0000  0.10
Tl 0.0000 0.0000 0.5000  0.04

Properties
V: 46.46 Å³/atom
Size of the total moment: 10.0 Bohr magnetons per cell
Raw formation energy: -2.439 eV/f.u.

Record 11
Material: TmHf2Zr4
Method: DFT, GGA-PBE
State: relaxed

a = 3.1766 Å, b = 5.2176 Å, c = 11.8030 Å
α = 116.17°, β = 90.00°, γ = 90.00°
Element x y z (fractional)
Zr 0.5000 0.2635 0.2641
Zr 0.0003 0.2774 0.7770
Zr 0.5000 0.7365 0.7359
Zr 0.0003 0.7226 0.2230
Tm 0.9994 0.0000 0.0000
Hf 0.5001 0.0000 0.5000
Hf 0.0000 0.5000 0.5000

Properties
V: 25.08 Å³/atom
Size of the total moment: 0.0 Bohr magnetons per cell
Energy of formation: 264 meV/atom

Record 12
Material: LiZrV2
Method: DFT, GGA-PBE
State: relaxed

a = 4.4901 Å, b = 4.4901 Å, c = 4.4901 Å
α = 60.00°, β = 60.00°, γ = 60.00°
Element x y z (fractional)
V 0.7500 0.7500 0.7500
V 0.2500 0.2500 0.2500
Zr 0.5000 0.5000 0.5000
Li 0.0000 0.0000 0.0000

Properties
V: 16.00 Å³/atom
Size of the total moment: 0.0 Bohr magnetons per cell
Energy of formation: 580 meV/atom